Computed, not measured: a relaxed structure of ZrAl6Cu12 at the PBE-GGA level of DFT.

Cell and atoms, written as POSCAR:
```
ZrAl6Cu12
1.0
5.377 3.104 2.766
-5.377 3.104 2.766
0.000 -6.208 2.766
Zr Al Cu
1 6 12
Direct
0.000 0.000 0.000 Zr
0.291 0.291 0.702 Al
0.291 0.702 0.291 Al
0.298 0.709 0.709 Al
0.702 0.291 0.291 Al
0.709 0.298 0.709 Al
0.709 0.709 0.298 Al
0.111 0.500 0.889 Cu
0.111 0.889 0.500 Cu
0.118 0.363 0.363 Cu
0.363 0.118 0.363 Cu
0.363 0.363 0.118 Cu
0.500 0.111 0.889 Cu
0.500 0.889 0.111 Cu
0.637 0.637 0.882 Cu
0.637 0.882 0.637 Cu
0.882 0.637 0.637 Cu
0.889 0.111 0.500 Cu
0.889 0.500 0.111 Cu
```

Output
The symmetry is No. 166. The calculation puts the total energy at -4.24 eV/atom. Its formation energy from the elements is -2.4 kJ per mole of atoms.

***

Computed, not measured: a relaxed structure of Zr2AlCu at the PBE-GGA level of DFT.

Cell and atoms, written as POSCAR:
```
Zr2AlCu
1.0
-2.183 2.183 3.880
2.183 -2.183 3.880
2.183 2.183 -3.880
Zr Al Cu
2 1 1
Direct
0.250 0.750 0.500 Zr
0.750 0.250 0.500 Zr
0.000 0.000 0.000 Al
0.500 0.500 0.000 Cu
```

Output
The symmetry is No. 139. The calculation puts the total energy at -6.50 eV/atom. Its formation energy from the elements is -25.6 kJ per mole of atoms.

***

Computed, not measured: a relaxed structure of Zr2Al3Cu2 at the PBE-GGA level of DFT.

Cell and atoms, written as POSCAR:
```
Zr2Al3Cu2
1.0
2.086 -8.898 0.000
2.086 8.898 0.000
0.000 0.000 6.440
Zr Al Cu
4 6 4
Direct
0.034 0.966 0.750 Zr
0.157 0.843 0.250 Zr
0.843 0.157 0.750 Zr
0.966 0.034 0.250 Zr
0.206 0.794 0.750 Al
0.431 0.569 0.550 Al
0.431 0.569 0.950 Al
0.569 0.431 0.050 Al
0.569 0.431 0.450 Al
0.794 0.206 0.250 Al
0.299 0.701 0.044 Cu
0.299 0.701 0.456 Cu
0.701 0.299 0.544 Cu
0.701 0.299 0.956 Cu
```

Output
The symmetry is No. 63. The calculation puts the total energy at -5.59 eV/atom. Its formation energy from the elements is -36.1 kJ per mole of atoms.

***

Computed, not measured: a relaxed structure of Zr2AlCu at the PBE-GGA level of DFT.

Cell and atoms, written as POSCAR:
```
Zr2AlCu
1.0
5.748 0.000 0.000
0.000 4.337 0.000
0.000 0.000 6.097
Zr Al Cu
4 2 2
Direct
0.000 0.000 0.000 Zr
0.250 0.500 0.293 Zr
0.500 0.000 0.000 Zr
0.750 0.500 0.707 Zr
0.250 0.000 0.581 Al
0.750 0.000 0.419 Al
0.250 0.500 0.790 Cu
0.750 0.500 0.210 Cu
```

Output
The symmetry is No. 51. The calculation puts the total energy at -6.32 eV/atom. Its formation energy from the elements is -8.2 kJ per mole of atoms.

***

Among the records above, which one has the highest total energy? ZrAl6Cu12

***

What did the second record say?
Computed, not measured: a relaxed structure of Zr2AlCu at the PBE-GGA level of DFT.

Cell and atoms, written as POSCAR:
```
Zr2AlCu
1.0
-2.183 2.183 3.880
2.183 -2.183 3.880
2.183 2.183 -3.880
Zr Al Cu
2 1 1
Direct
0.250 0.750 0.500 Zr
0.750 0.250 0.500 Zr
0.000 0.000 0.000 Al
0.500 0.500 0.000 Cu
```

Output
The symmetry is No. 139. The calculation puts the total energy at -6.50 eV/atom. Its formation energy from the elements is -25.6 kJ per mole of atoms.

***

formation energy from the elements of number 1 (ZrAl6Cu12)? -2.4 kJ per mole of atoms

***

What did the second record say?
Computed, not measured: a relaxed structure of Zr2AlCu at the PBE-GGA level of DFT.

Cell and atoms, written as POSCAR:
```
Zr2AlCu
1.0
-2.183 2.183 3.880
2.183 -2.183 3.880
2.183 2.183 -3.880
Zr Al Cu
2 1 1
Direct
0.250 0.750 0.500 Zr
0.750 0.250 0.500 Zr
0.000 0.000 0.000 Al
0.500 0.500 0.000 Cu
```

Output
The symmetry is No. 139. The calculation puts the total energy at -6.50 eV/atom. Its formation energy from the elements is -25.6 kJ per mole of atoms.